! NbCoO4 PBE+U optimized geometry; values from VASP
! Theoretical density: 4.89 Mg/m³
! Energy: -7.671 eV/atom
! V: 147 Å³/cell
&SYSTEM
  ibrav = 0, nat = 12, ntyp = 3
/
ATOMIC_SPECIES
O 16.00 O.upf
Nb 92.91 Nb.upf
Co 58.93 Co.upf
CELL_PARAMETERS angstrom
-4.4432 -3.9985 -2.3481
-1.0050 -5.5148 -3.1337
-1.0063 -4.6277 4.5286
ATOMIC_POSITIONS crystal
O 0.7373 0.7373 0.1374
O 0.2627 0.2627 0.8626
O 0.8576 0.8576 0.5276
O 0.0570 0.0570 0.1368
O 0.3566 0.3566 0.1995
O 0.6434 0.6434 0.8005
O 0.1424 0.1424 0.4724
O 0.9430 0.9430 0.8632
Nb 0.1049 0.1049 0.7621
Nb 0.8951 0.8951 0.2379
Co 0.7960 0.7960 0.8281
Co 0.2040 0.2040 0.1719